{"formula": "Zn2AgAu", "functional": "PBE", "state": "relaxed", "cell": [[2.932, 0.000, 0.000], [0.000, 5.110, -0.069], [0.000, 3.339, 4.356]], "species": ["Au", "Ag", "Zn", "Zn"], "fractional_positions": [[0.000, 0.000, 0.500], [0.500, 0.500, 0.500], [0.500, 0.500, 0.000], [0.000, 0.000, 0.000]], "e_tot_ry_per_atom": -0.1658, "spacegroup": "P2/m (10)", "m_tot_mub_per_fu": 0.0, "de_polymorph_mev_per_atom": 57.9}

{"formula": "AcPm4Pr3", "functional": "PBE", "state": "relaxed", "cell": [[-0.515, 7.203, 1.743], [-7.307, -0.782, 1.074], [1.734, -2.322, 10.109]], "species": ["Pr", "Pm", "Pm", "Ac", "Pm", "Pm", "Pm", "Pm", "Pr", "Pm", "Pm", "Pr", "Pr", "Pr", "Pr", "Ac"], "fractional_positions": [[0.001, 0.311, 0.000], [0.000, 0.311, 0.500], [0.246, 0.561, 0.250], [0.499, 0.810, 0.000], [0.754, 0.061, 0.250], [0.500, 0.311, 0.000], [0.246, 0.561, 0.750], [0.000, 0.811, 0.000], [0.754, 0.561, 0.750], [0.500, 0.811, 0.500], [0.754, 0.061, 0.750], [0.754, 0.561, 0.250], [0.246, 0.061, 0.750], [0.999, 0.811, 0.500], [0.246, 0.061, 0.250], [0.501, 0.310, 0.500]], "e_tot_ry_per_atom": -0.3424, "spacegroup": "Pmn2_1 (31)", "m_tot_mub_per_fu": 0.0, "de_polymorph_mev_per_atom": 0.0}

{"formula": "Cs8Au5S", "functional": "PBE", "state": "relaxed", "cell": [[8.944, 0.337, -2.977], [-4.562, 7.700, -2.977], [-0.184, -0.337, 9.425]], "species": ["Au", "Au", "Au", "Cs", "Cs", "Cs", "Cs", "Au", "Cs", "Cs", "Cs", "Cs", "Au", "S"], "fractional_positions": [[0.383, 0.006, 0.130], [0.876, 0.253, 0.870], [0.994, 0.124, 0.377], [0.264, 0.391, 0.261], [0.130, 0.003, 0.739], [0.789, 0.387, 0.256], [0.997, 0.736, 0.127], [0.747, 0.617, 0.623], [0.131, 0.533, 0.744], [0.613, 0.869, 0.401], [0.467, 0.211, 0.599], [0.609, 0.870, 0.873], [0.500, 0.500, 0.000], [0.250, 0.750, 0.500]], "e_tot_ry_per_atom": -0.1765, "spacegroup": "I-4 (82)", "formation_energy_uncorrected_ev_per_atom": -0.45, "m_tot_mub_per_fu": 0.0}

{"formula": "MgZn2CrN4", "functional": "PBE", "state": "relaxed", "cell": [[5.268, 0.000, 0.000], [0.000, 5.572, 0.000], [0.000, 0.000, 6.492]], "species": ["N", "Zn", "Mg", "Zn", "Zn", "Cr", "Zn", "N", "Mg", "N", "Cr", "N", "N", "N", "N", "N"], "fractional_positions": [[0.896, 0.875, 0.000], [0.002, 0.669, 0.247], [0.495, 0.845, 0.000], [0.502, 0.331, 0.747], [0.002, 0.669, 0.753], [0.000, 0.176, 0.000], [0.502, 0.331, 0.253], [0.331, 0.186, 0.000], [0.995, 0.155, 0.500], [0.887, 0.323, 0.223], [0.500, 0.824, 0.500], [0.831, 0.814, 0.500], [0.396, 0.125, 0.500], [0.387, 0.677, 0.723], [0.387, 0.677, 0.277], [0.887, 0.323, 0.777]], "e_tot_ry_per_atom": -0.4578, "spacegroup": "Pmn2_1 (31)", "formation_energy_uncorrected_ev_per_atom": -0.35, "m_tot_mub_per_fu": 0.0}

{"formula": "Al2MoOs", "functional": "PBE", "state": "relaxed", "cell": [[5.140, -0.003, -0.002], [2.136, 4.675, 0.002], [-2.971, -3.374, 2.491]], "species": ["Al", "Al", "Mo", "Os"], "fractional_positions": [[0.009, 0.009, 0.000], [0.491, 0.491, 0.000], [0.750, 0.250, 0.500], [0.250, 0.750, 0.500]], "e_tot_ry_per_atom": -0.5504, "spacegroup": "Immm (71)", "m_tot_mub_per_fu": 0.0, "de_polymorph_mev_per_atom": 221.6}

{"formula": "ScCo2HRh", "functional": "PBE", "state": "relaxed", "cell": [[3.775, 0.000, 0.000], [0.000, 3.775, 0.000], [0.000, 0.000, 3.897]], "species": ["Sc", "Co", "H", "Rh", "Co"], "fractional_positions": [[0.500, 0.500, 0.500], [0.500, 0.000, 0.000], [0.000, 0.000, 0.000], [0.000, 0.000, 0.500], [0.000, 0.500, 0.000]], "e_tot_ry_per_atom": -0.4786, "spacegroup": "P4/mmm (123)", "m_tot_mub_per_fu": 0.0, "de_polymorph_mev_per_atom": 20.4}

{"formula": "ZrPaNbCu", "functional": "PBE", "state": "relaxed", "cell": [[4.841, 0.000, 0.000], [2.420, 4.192, 0.000], [2.420, 1.397, 3.953]], "species": ["Nb", "Zr", "Pa", "Cu"], "fractional_positions": [[0.750, 0.750, 0.750], [0.000, 0.000, 0.000], [0.500, 0.500, 0.500], [0.250, 0.250, 0.250]], "e_tot_ry_per_atom": -0.5866, "spacegroup": "F-43m (216)", "m_tot_mub_per_fu": 0.0}

{"formula": "Pm6Ho8Sc", "functional": "PBE", "state": "relaxed", "cell": [[9.048, 0.000, 0.000], [4.524, 7.836, 0.000], [4.524, 2.612, 6.876]], "species": ["Pm", "Pm", "Ho", "Ho", "Ho", "Sc", "Ho", "Pm", "Pm", "Pm", "Ho", "Ho", "Ho", "Ho", "Pm"], "fractional_positions": [[0.896, 0.774, 0.872], [0.542, 0.104, 0.128], [0.111, 0.750, 0.420], [0.577, 0.577, 0.269], [0.719, 0.111, 0.420], [0.000, 0.000, 0.000], [0.281, 0.889, 0.580], [0.774, 0.458, 0.872], [0.104, 0.226, 0.128], [0.458, 0.896, 0.872], [0.889, 0.250, 0.580], [0.423, 0.423, 0.731], [0.750, 0.719, 0.420], [0.250, 0.281, 0.580], [0.226, 0.542, 0.128]], "e_tot_ry_per_atom": -0.3416, "spacegroup": "R-3 (148)", "m_tot_mub_per_fu": 0.0}

{"formula": "CoNi2Mo", "functional": "PBE", "state": "relaxed", "cell": [[4.486, -0.005, 0.002], [3.734, 2.485, 0.002], [0.784, 0.236, 4.326]], "species": ["Ni", "Mo", "Co", "Ni"], "fractional_positions": [[0.005, 0.005, 0.993], [0.250, 0.250, 0.250], [0.750, 0.750, 0.750], [0.495, 0.495, 0.507]], "e_tot_ry_per_atom": -0.5369, "spacegroup": "C2/m (12)", "m_tot_mub_per_fu": 1.3, "de_polymorph_mev_per_atom": 120.8}

{"formula": "SrAcPtBr", "functional": "PBE", "state": "relaxed", "cell": [[-1.012, -2.428, 3.515], [4.190, 1.004, -0.843], [-1.457, 8.143, 2.463]], "species": ["Pt", "Ac", "Br", "Sr"], "fractional_positions": [[0.310, 0.553, 0.879], [0.101, 0.949, 0.065], [0.966, 0.381, 0.362], [0.500, 0.148, 0.663]], "e_tot_ry_per_atom": -0.3450, "spacegroup": "R3m (160)", "formation_energy_uncorrected_ev_per_atom": -1.32, "m_tot_mub_per_fu": 0.0}

{"formula": "LiYHo2Tl4", "functional": "PBE", "state": "relaxed", "cell": [[5.226, 0.000, 0.000], [2.613, 4.526, 0.000], [2.613, 1.509, 8.805]], "species": ["Tl", "Tl", "Tl", "Tl", "Ho", "Y", "Ho", "Li"], "fractional_positions": [[0.127, 0.127, 0.618], [0.378, 0.378, 0.867], [0.622, 0.622, 0.133], [0.873, 0.873, 0.382], [0.754, 0.754, 0.737], [0.000, 0.000, 0.000], [0.246, 0.246, 0.263], [0.500, 0.500, 0.500]], "e_tot_ry_per_atom": -0.2722, "spacegroup": "R-3m (166)", "m_tot_mub_per_fu": 0.0}

{"formula": "ScTiPS2", "functional": "PBE", "state": "relaxed", "cell": [[4.812, 0.000, 0.000], [0.000, 4.812, 0.000], [0.000, 0.000, 4.904]], "species": ["Ti", "S", "P", "Sc", "S"], "fractional_positions": [[0.500, 0.500, 0.500], [0.500, 0.000, 0.000], [0.000, 0.000, 0.500], [0.000, 0.000, 0.000], [0.000, 0.500, 0.000]], "e_tot_ry_per_atom": -0.4185, "spacegroup": "P4/mmm (123)", "formation_energy_uncorrected_ev_per_atom": -0.12, "m_tot_mub_per_fu": 1.4, "de_polymorph_mev_per_atom": 540.0}